# 1
! RbPrCd (PBE-GGA, optimized geometry); values from VASP
&SYSTEM
  ibrav = 0, nat = 3, ntyp = 3
/
ATOMIC_SPECIES
Rb 85.47 Rb.upf
Cd 112.41 Cd.upf
Pr 140.91 Pr.upf
CELL_PARAMETERS angstrom
0.000 3.935 3.935
3.935 0.000 3.935
3.935 3.935 0.000
ATOMIC_POSITIONS angstrom
Rb 5.902 5.902 5.902
Cd 1.967 1.967 1.967
Pr 0.000 0.000 0.000
! Theoretical density in kg/m³: 4617
! Size of the total moment in μB/f.u.: 0.1
! Total DFT energy (no corrections) in eV per atom: -1.58
! Space-group type: F-43m



# 2
! NaHfTe2AuSe (PBE-GGA, optimized geometry); values from VASP
&SYSTEM
  ibrav = 0, nat = 12, ntyp = 5
/
ATOMIC_SPECIES
Na 22.99 Na.upf
Te 127.60 Te.upf
Se 78.96 Se.upf
Au 196.97 Au.upf
Hf 178.49 Hf.upf
CELL_PARAMETERS angstrom
2.023 -7.366 0.000
2.023 7.366 0.000
0.000 0.000 10.528
ATOMIC_POSITIONS angstrom
Na 2.023 -3.589 7.896
Na 2.023 3.589 2.632
Te 2.023 5.279 10.182
Te 2.023 5.279 5.609
Te 2.023 -5.279 0.345
Te 2.023 -5.279 4.919
Se 2.023 -1.070 2.632
Se 2.023 1.070 7.896
Au 2.023 6.722 7.896
Au 2.023 -6.722 2.632
Hf 2.023 0.000 0.000
Hf 2.023 0.000 5.264
! Theoretical density in kg/m³: 7754
! Size of the total moment in μB/f.u.: 0.0
! Total DFT energy (no corrections) in eV per atom: -4.75
! Space-group type: Cmcm



# 3
! ZrUSb (PBE-GGA, optimized geometry); values from VASP
&SYSTEM
  ibrav = 0, nat = 3, ntyp = 3
/
ATOMIC_SPECIES
Zr 91.22 Zr.upf
U 238.03 U.upf
Sb 121.76 Sb.upf
CELL_PARAMETERS angstrom
5.040 -0.023 -0.213
2.499 -4.380 -0.122
2.339 -1.452 -4.227
ATOMIC_POSITIONS angstrom
Zr 7.409 -4.391 -3.421
U 0.000 0.000 0.000
Sb 2.470 -1.464 -1.140
! Theoretical density in kg/m³: 8252
! Size of the total moment in μB/f.u.: 5.3
! Total DFT energy (no corrections) in eV per atom: -7.17
! Space-group type: F-43m



# 4
! Li2Ni (PBE-GGA, optimized geometry); values from VASP
&SYSTEM
  ibrav = 0, nat = 6, ntyp = 2
/
ATOMIC_SPECIES
Li 6.94 Li.upf
Ni 58.69 Ni.upf
CELL_PARAMETERS angstrom
0.000 3.276 3.276
3.276 0.000 3.276
3.276 3.276 0.000
ATOMIC_POSITIONS angstrom
Li 2.457 4.095 2.457
Li 2.457 2.457 4.095
Li 4.095 2.457 2.457
Li 4.095 4.095 4.095
Ni 1.638 1.638 1.638
Ni 0.000 0.000 0.000
! Theoretical density in kg/m³: 3428
! Size of the total moment in μB/f.u.: 0.0
! Total DFT energy (no corrections) in eV per atom: -2.87
! Space-group type: Fd-3m



# 5
! MoPd2Pb (PBE-GGA, optimized geometry); values from VASP
&SYSTEM
  ibrav = 0, nat = 4, ntyp = 3
/
ATOMIC_SPECIES
Mo 95.94 Mo.upf
Pd 106.42 Pd.upf
Pb 207.20 Pb.upf
CELL_PARAMETERS angstrom
3.120 -1.608 2.993
2.820 2.924 2.186
-0.527 0.770 4.518
ATOMIC_POSITIONS angstrom
Mo 1.353 0.521 2.424
Pd 0.000 0.000 0.000
Pd 4.060 1.564 7.273
Pb 2.707 1.043 4.849
! Theoretical density in kg/m³: 12343
! Size of the total moment in μB/f.u.: 1.1
! Total DFT energy (no corrections) in eV per atom: -5.98
! Space-group type: F-43m



# 6
! Ag8GeS6 (PBE-GGA, optimized geometry); values from VASP
&SYSTEM
  ibrav = 0, nat = 60, ntyp = 3
/
ATOMIC_SPECIES
Ag 107.87 Ag.upf
S 32.06 S.upf
Ge 72.64 Ge.upf
CELL_PARAMETERS angstrom
15.284 0.000 0.000
0.000 7.566 0.000
0.000 0.000 10.734
ATOMIC_POSITIONS angstrom
Ag 6.698 5.832 3.605
Ag 8.676 4.245 5.535
Ag 3.451 4.736 1.993
Ag 14.340 5.516 3.605
Ag 14.999 3.869 1.164
Ag 4.162 0.001 0.977
Ag 3.958 2.794 9.715
Ag 7.927 0.087 6.530
Ag 8.967 4.513 2.109
Ag 13.321 5.621 9.384
Ag 1.034 7.103 5.535
Ag 8.586 1.733 8.972
Ag 6.608 3.320 0.169
Ag 9.605 1.838 4.017
Ag 3.480 3.784 6.343
Ag 14.250 0.463 0.169
Ag 0.944 2.050 8.972
Ag 1.963 1.945 4.017
Ag 6.317 3.053 7.476
Ag 11.122 7.564 6.343
Ag 11.326 4.771 4.348
Ag 11.804 3.782 0.977
Ag 4.191 0.953 7.360
Ag 11.094 6.612 1.993
Ag 11.600 0.988 9.715
Ag 0.285 3.696 6.530
Ag 11.833 2.829 7.360
Ag 5.679 5.727 9.384
Ag 3.684 6.577 4.348
Ag 1.325 6.836 2.109
Ag 7.357 7.479 1.164
Ag 13.959 0.730 7.476
S 5.750 5.553 1.167
S 3.940 2.097 2.457
S 7.715 5.510 7.827
S 7.569 2.056 2.460
S 0.073 5.839 7.827
S 9.589 7.344 10.473
S 9.478 3.722 10.479
S 11.582 1.686 2.457
S 13.337 3.561 5.106
S 5.806 3.843 5.112
S 5.695 0.222 5.106
S 1.947 4.005 10.473
S 9.362 6.170 3.941
S 5.922 1.396 9.308
S 9.534 2.012 6.534
S 1.836 0.061 10.479
S 1.892 1.770 6.534
S 13.449 7.505 5.112
S 15.211 1.727 2.460
S 13.564 2.387 9.308
S 11.344 5.468 7.824
S 1.720 5.179 3.941
S 3.702 5.880 7.824
S 13.392 5.795 1.167
Ge 9.539 5.522 9.137
Ge 5.745 2.043 3.771
Ge 13.387 1.739 3.771
Ge 1.897 5.826 9.137
! Theoretical density in kg/m³: 6037
! Total DFT energy (no corrections) in eV per atom: -3.61
! Space-group type: Pna2_1



# 7
! Pt2SO5 (PBE-GGA, optimized geometry); values from VASP
&SYSTEM
  ibrav = 0, nat = 16, ntyp = 3
/
ATOMIC_SPECIES
O 16.00 O.upf
Pt 195.08 Pt.upf
S 32.06 S.upf
CELL_PARAMETERS angstrom
5.092 -3.248 0.000
5.092 3.248 0.000
-4.794 0.000 6.642
ATOMIC_POSITIONS angstrom
O 1.374 0.000 0.063
O 3.466 -1.238 1.795
O 4.083 0.000 3.706
O 1.307 0.000 2.936
O -0.238 0.000 4.833
O 4.017 0.000 6.580
O 3.466 1.238 1.795
O 1.925 1.238 4.847
O 1.925 -1.238 4.847
O 5.628 0.000 1.810
Pt 5.498 0.000 5.117
Pt -0.108 0.000 1.525
Pt 2.546 1.624 0.000
Pt 2.546 -1.624 0.000
S 4.251 0.000 2.223
S 1.140 0.000 4.419
! Theoretical density in kg/m³: 7592
! Size of the total moment in μB/f.u.: 0.0
! Total DFT energy (no corrections) in eV per atom: -5.60
! Space-group type: C2/m



# 8
! K4ThIr2 (PBE-GGA, optimized geometry); values from VASP
&SYSTEM
  ibrav = 0, nat = 7, ntyp = 3
/
ATOMIC_SPECIES
Ir 192.22 Ir.upf
K 39.10 K.upf
Th 232.04 Th.upf
CELL_PARAMETERS angstrom
-2.246 -1.259 1.884
2.774 -1.522 -0.412
8.771 11.138 17.896
ATOMIC_POSITIONS angstrom
Ir 2.912 0.866 4.049
Ir 6.387 7.491 15.319
K 9.041 8.650 16.556
K 5.275 6.079 13.051
K 4.024 2.278 6.318
K 0.257 -0.292 2.812
Th 4.386 5.569 8.948
! Theoretical density in kg/m³: 6377
! Size of the total moment in μB/f.u.: 0.3
! Total DFT energy (no corrections) in eV per atom: -3.19
! Space-group type: P-3m1



# 9
! LaEr2Sn3PdPt2 (PBE-GGA, optimized geometry); values from VASP
&SYSTEM
  ibrav = 0, nat = 9, ntyp = 5
/
ATOMIC_SPECIES
Er 167.26 Er.upf
Pd 106.42 Pd.upf
Pt 195.08 Pt.upf
La 138.91 La.upf
Sn 118.71 Sn.upf
CELL_PARAMETERS angstrom
4.074 0.000 0.000
0.000 6.589 3.766
0.000 -6.589 3.766
ATOMIC_POSITIONS angstrom
Er 0.000 3.886 5.299
Er 0.000 -3.886 5.299
Pd 0.000 0.000 0.051
Pt 2.037 2.261 3.757
Pt 2.037 -2.261 3.757
La 0.000 0.000 4.412
Sn 2.037 0.000 1.899
Sn 2.037 -4.890 2.827
Sn 2.037 4.890 2.827
! Theoretical density in kg/m³: 10892
! Size of the total moment in μB/f.u.: 0.0
! Total DFT energy (no corrections) in eV per atom: -5.85
! Space-group type: Amm2



# 10
! ZrH3NF4 (PBE-GGA, optimized geometry); values from VASP
&SYSTEM
  ibrav = 0, nat = 36, ntyp = 4
/
ATOMIC_SPECIES
Zr 91.22 Zr.upf
N 14.01 N.upf
H 1.01 H.upf
F 19.00 F.upf
CELL_PARAMETERS angstrom
5.788 0.011 -0.029
-2.222 7.531 0.005
-2.085 -3.132 7.403
ATOMIC_POSITIONS angstrom
Zr 2.470 4.877 1.265
Zr 3.798 1.209 0.976
Zr -2.317 3.202 6.404
Zr -0.990 -0.466 6.114
N -0.281 1.717 2.444
N -1.640 5.294 2.811
N 1.762 2.693 4.936
N 3.120 -0.883 4.568
H 0.385 -1.395 3.362
H 2.122 2.572 3.987
H 2.994 -0.093 3.921
H -1.514 4.504 3.458
H 1.321 1.816 5.221
H -0.765 5.428 2.296
H 1.013 3.387 4.914
H 2.245 -1.018 5.084
H -0.642 1.838 3.393
H 0.160 2.594 2.158
H 1.096 5.806 4.018
H 0.467 1.023 2.465
F 0.458 5.427 0.837
F 1.023 -1.016 6.542
F -1.333 3.023 4.647
F -2.928 5.015 5.514
F 3.856 5.995 0.157
F 1.442 3.015 0.844
F 3.911 3.350 1.169
F 0.039 1.395 6.535
F 1.903 0.300 0.628
F -2.375 -1.584 7.223
F -2.431 1.060 6.211
F 4.409 -0.605 1.866
F -0.074 -0.049 4.392
F -0.423 4.110 6.751
F 1.555 4.459 2.987
F 2.813 1.388 2.732
! Theoretical density in kg/m³: 3797
! Size of the total moment in μB/f.u.: 0.0
! Total DFT energy (no corrections) in eV per atom: -6.04
! Space-group type: P-1



# 11
! AlNiSn2 (PBE-GGA, optimized geometry); values from VASP
&SYSTEM
  ibrav = 0, nat = 4, ntyp = 3
/
ATOMIC_SPECIES
Al 26.98 Al.upf
Ni 58.69 Ni.upf
Sn 118.71 Sn.upf
CELL_PARAMETERS angstrom
1.701 -4.496 0.666
3.172 -1.885 -3.152
4.621 -0.675 1.319
ATOMIC_POSITIONS angstrom
Al 7.121 -5.292 -0.875
Ni 0.000 0.000 0.000
Sn 2.374 -1.764 -0.292
Sn 4.747 -3.528 -0.584
! Theoretical density in kg/m³: 6640
! Size of the total moment in μB/f.u.: 0.0
! Total DFT energy (no corrections) in eV per atom: -4.03
! Space-group type: F-43m



# 12
! Tb2LuBi3 (PBE-GGA, optimized geometry); values from VASP
&SYSTEM
  ibrav = 0, nat = 6, ntyp = 3
/
ATOMIC_SPECIES
Tb 158.93 Tb.upf
Bi 208.98 Bi.upf
Lu 174.97 Lu.upf
CELL_PARAMETERS angstrom
4.449 0.000 0.000
-2.224 3.853 0.000
0.000 0.000 10.905
ATOMIC_POSITIONS angstrom
Tb 2.224 1.284 1.834
Tb 0.000 2.568 9.071
Bi 0.000 2.568 3.686
Bi 0.000 0.000 0.000
Bi 2.224 1.284 7.219
Lu 0.000 0.000 5.452
! Theoretical density in kg/m³: 9949
! Size of the total moment in μB/f.u.: 0.0
! Total DFT energy (no corrections) in eV per atom: -5.17
! Space-group type: P-3m1